(1)
Here is a relaxed KLaY2 crystal from Alexandria via LeMat-Bulk. Energies are from PBE.

```
4
Lattice="7.3250 0.0068 -0.0012 3.6065 6.3756 0.0012 -4.5713 -4.7231 3.2328" Properties=species:S:1:pos:R:3 pbc="T T T"
K 4.1097 -0.7626 1.6158
La 2.2504 2.4219 1.6170
Y 0.1378 0.0804 0.0000
Y 5.3280 3.1108 0.0000
```

Output
* energy of formation: 403 meV per atom
* density of states at the Fermi level: 1.27 states/eV/atom
* SG: Immm
* offset from the most stable computed form: 0.216 eV/atom

(2)
Here is a relaxed ErUPb2S6 crystal from Alexandria via LeMat-Bulk. Energies are from PBE.

```
20
Lattice="-6.5995 1.6187 1.2793 0.4524 -3.3331 6.5513 2.8269 8.6866 4.2243" Properties=species:S:1:pos:R:3 pbc="T T T"
Er -3.2997 0.8093 0.6397
Er 1.6397 2.6767 5.3878
U -1.8863 5.1527 2.7518
U 0.2262 -1.6666 3.2757
Pb 0.9803 -0.8244 7.1771
Pb -1.0651 5.5003 7.6253
Pb -4.3004 7.7966 4.8778
Pb -2.2550 1.4719 4.4297
S -1.5644 -1.3037 5.1463
S -3.3952 3.4405 8.7009
S -1.7557 8.2759 6.9086
S 0.0751 3.5317 3.3540
S -0.5446 1.9757 6.8297
S -2.3848 6.7886 10.2493
S -2.7755 4.9964 5.2253
S -0.9353 0.1835 1.8056
S -4.8628 1.7823 5.6660
S 0.0455 3.8786 9.9643
S 1.5427 5.1899 6.3889
S -3.3656 3.0936 2.0906
```

Output
* ΔE_f (raw): -1.1587 eV per atom
* density of states at the Fermi level: 0.05 states/eV/atom
* SG: P2_1/c

(3)
Here is a relaxed Rb2CdNF6 crystal from Alexandria via LeMat-Bulk. Energies are from PBE.

```
10
Lattice="-4.3878 -2.4035 -2.9835 3.7464 -1.7430 -4.1058 0.3752 -6.4250 -1.0622" Properties=species:S:1:pos:R:3 pbc="T T T"
N -0.3207 -2.0733 -3.5446
F 0.0828 -4.5967 -2.1052
F -0.3491 -5.9749 -6.0463
F -0.1805 -1.1668 -1.9948
F -0.4609 -2.9797 -5.0944
F -2.0990 -2.2176 -3.2993
F 1.4576 -1.9289 -3.7900
Rb -2.1667 -5.4509 -3.7951
Rb 1.9004 -5.1206 -4.3563
Cd 0.0000 0.0000 0.0000
```

Output
* ΔE_f (raw): -1.5628 eV per atom
* density of states at the Fermi level: 0.00 states/eV/atom
* SG: I4/mmm

(4)
Here is a relaxed ZrMnGaIr crystal from Alexandria via LeMat-Bulk. Energies are from PBE.

```
4
Lattice="4.4307 0.0000 0.0000 2.2153 3.8371 0.0000 2.2153 1.2790 3.6176" Properties=species:S:1:pos:R:3 pbc="T T T"
Mn 0.0000 0.0000 0.0000
Ir 4.4307 2.5581 1.8088
Ga 2.2153 1.2790 0.9044
Zr 6.6460 3.8371 2.7132
```

Output
* energy of formation: -407 meV per atom
* density of states at the Fermi level: 1.36 states/eV/atom
* SG: F-43m

(5)
Here is a relaxed SmHSe2 crystal from Alexandria via LeMat-Bulk. Energies are from PBE.

```
16
Lattice="7.6601 0.0000 0.0000 0.0000 7.6396 -0.0527 0.0000 -3.7487 7.0246" Properties=species:S:1:pos:R:3 pbc="T T T"
Sm 1.0454 1.7703 0.2665
Sm 2.7847 3.7157 3.7525
Sm 6.6147 2.1206 6.7054
Sm 4.8754 0.1752 3.2194
H 4.3542 -1.9956 6.2554
H 0.5241 0.1923 4.2552
H 3.3059 5.8864 0.7166
H 7.1360 3.6986 2.7167
Se 3.3150 -1.2935 5.4032
Se 1.5803 3.0311 6.2339
Se 7.1451 -0.5098 5.1073
Se 4.3451 5.1844 1.5687
Se 6.0798 0.8598 0.7380
Se 5.4103 2.8052 4.2240
Se 2.2498 1.0857 2.7479
Se 0.5150 4.4006 1.8646
```

Output
* density of states at the Fermi level: 0.00 states/eV/atom
* SG: P2_1/c
* electronic total energy: -4.893 eV per atom

(6)
Here is a relaxed NiIr2Os crystal from Alexandria via LeMat-Bulk. Energies are from PBE.

```
4
Lattice="8.7438 -0.0080 -0.0047 8.3220 2.6831 -0.0047 8.3220 1.3045 2.3446" Properties=species:S:1:pos:R:3 pbc="T T T"
Ni 6.3469 0.9949 0.5838
Ir 25.3497 3.9736 2.3317
Ir 12.7319 1.9957 1.1711
Os 19.0408 2.9846 1.7514
```

Output
* energy of formation: 78 meV per atom
* density of states at the Fermi level: 1.65 states/eV/atom
* SG: R-3m
* offset from the most stable computed form: 0.073 eV/atom

(7)
Here is a relaxed Ac2TlPb9 crystal from Alexandria via LeMat-Bulk. Energies are from PBE.

```
12
Lattice="-4.2567 0.5962 -2.6481 1.3441 -3.8160 -3.0197 -7.0754 -9.7541 9.1773" Properties=species:S:1:pos:R:3 pbc="T T T"
Ac -2.3831 -3.2853 3.0910
Ac -4.6923 -6.4688 6.0863
Tl 0.0000 0.0000 0.0000
Pb -1.4563 -1.6099 -2.8339
Pb -3.7798 -4.8130 0.1798
Pb -6.2083 -8.1609 3.3297
Pb -3.2638 -1.2673 0.1487
Pb -5.6660 -4.5790 3.2646
Pb -8.0683 -7.8907 6.3805
Pb -0.4635 -3.4734 -0.0370
Pb -2.8657 -6.7851 3.0788
Pb -5.2679 -10.0968 6.1947
```

Output
* energy of formation: -253 meV per atom
* density of states at the Fermi level: 0.48 states/eV/atom
* SG: P4/mmm

(8)
Here is a relaxed Ac6InNi4 crystal from Alexandria via LeMat-Bulk. Energies are from PBE.

```
22
Lattice="4.2605 0.0000 0.0000 -2.1303 7.2829 0.0000 0.0000 0.0000 22.0552" Properties=species:S:1:pos:R:3 pbc="T T T"
Ac 2.1303 0.0000 0.0000
Ac 2.1303 0.0000 11.0276
Ac 0.0000 0.5394 7.6529
Ac 2.1303 6.7435 14.4023
Ac 2.1303 6.7435 18.6805
Ac 0.0000 0.5394 3.3747
Ac 2.1303 3.9049 9.1845
Ac 0.0000 3.3780 12.8707
Ac 0.0000 3.3780 20.2121
Ac 2.1303 3.9049 1.8431
Ac 0.0000 5.0165 5.5138
Ac 2.1303 2.2665 16.5414
In 2.1303 2.3304 5.5138
In 0.0000 4.9525 16.5414
Ni 2.1303 5.2938 11.9011
Ni 0.0000 5.8804 2.6860
Ni 0.0000 1.9892 10.1541
Ni 2.1303 1.4026 19.3692
Ni 2.1303 5.2938 21.1817
Ni 0.0000 1.9892 0.8735
Ni 2.1303 1.4026 13.7136
Ni 0.0000 5.8804 8.3416
```

Output
* energy of formation: -222 meV per atom
* density of states at the Fermi level: 0.68 states/eV/atom
* SG: Cmcm